Entry 1:
# P3Pb4O12

A relaxed P3Pb4O12 crystal (PBEsol, the Alexandria database).

Lattice parameters (Å, degrees): 9.018 9.018 9.018 109.47 109.47 109.47
Fractional positions:
P (0.125, 0.875, 0.250)
P (0.250, 0.125, 0.875)
P (0.375, 0.625, 0.750)
P (0.625, 0.750, 0.375)
P (0.750, 0.375, 0.625)
P (0.875, 0.250, 0.125)
Pb (0.000, 0.147, 0.500)
Pb (0.000, 0.647, 0.500)
Pb (0.147, 0.500, 0.000)
Pb (0.353, 0.353, 0.353)
Pb (0.500, 0.000, 0.147)
Pb (0.500, 0.000, 0.647)
Pb (0.647, 0.500, 0.000)
Pb (0.853, 0.853, 0.853)
O (0.073, 0.317, 0.162)
O (0.089, 0.927, 0.744)
O (0.155, 0.838, 0.411)
O (0.162, 0.073, 0.317)
O (0.183, 0.256, 0.845)
O (0.244, 0.427, 0.589)
O (0.256, 0.845, 0.183)
O (0.317, 0.162, 0.073)
O (0.338, 0.655, 0.911)
O (0.345, 0.756, 0.683)
O (0.411, 0.155, 0.838)
O (0.427, 0.589, 0.244)
O (0.573, 0.662, 0.817)
O (0.589, 0.244, 0.427)
O (0.655, 0.911, 0.338)
O (0.662, 0.817, 0.573)
O (0.683, 0.345, 0.756)
O (0.744, 0.089, 0.927)
O (0.756, 0.683, 0.345)
O (0.817, 0.573, 0.662)
O (0.838, 0.411, 0.155)
O (0.845, 0.183, 0.256)
O (0.911, 0.338, 0.655)
O (0.927, 0.744, 0.089)

Summary:
As for the raw formation energy: -1.852 eV/atom.

---

Entry 2:
# FeIrCl2

A relaxed FeIrCl2 crystal (PBEsol, the Alexandria database).

Lattice parameters (Å, degrees): 6.902 6.902 6.902 155.85 147.24 41.11
Fractional positions:
Fe (0.000, 0.000, 0.000)
Ir (0.163, 0.663, 0.500)
Cl (0.431, 0.431, 0.000)
Cl (0.689, 0.189, 0.500)

Summary:
As for the raw formation energy: 0.396 eV/atom. The value obtained for the energy above the lowest structure with this stoichiometry is 0.0 kJ/mol of atoms.

---

no.,V (Å³ per cell)
1,565
2,73